Entry a
Zr6CuN3 | the Alexandria database | PBE-GGA | relaxed; M_tot = 0.0 μB/f.u.
1.0
9.966 0.000 0.000
0.000 3.288 0.000
-3.471 0.000 9.734
Zr Cu N
12 2 6
Cartesian
-0.913 0.822 3.620
0.975 2.466 1.279
0.313 0.822 6.476
1.845 2.466 4.283
0.266 2.466 9.208
3.593 0.822 2.217
2.901 2.466 7.517
6.228 0.822 0.526
4.649 0.822 5.451
6.182 2.466 3.258
5.520 0.822 8.455
7.408 2.466 6.114
-1.818 0.822 8.480
8.312 2.466 1.255
-0.378 2.466 5.079
1.312 0.822 2.727
1.570 0.822 8.347
4.924 2.466 1.387
5.183 2.466 7.007
6.873 0.822 4.655

=====

Entry b
Zr6CuN3 | the Alexandria database | PBE-GGA | relaxed; M_tot = 0.0 μB/f.u.
1.0
9.791 0.000 0.000
0.000 3.309 0.000
-4.016 0.000 10.328
Zr Cu N
12 2 6
Cartesian
-0.233 0.827 3.024
-2.681 2.482 10.205
-1.024 2.482 6.176
0.032 0.827 9.288
1.852 2.482 4.645
2.933 0.827 1.971
2.841 2.482 8.357
3.922 0.827 5.683
5.742 2.482 1.040
6.799 0.827 4.152
8.456 0.827 0.123
6.008 2.482 7.304
1.166 0.827 6.750
4.608 2.482 3.578
-1.475 2.482 3.982
0.774 0.827 1.110
3.550 2.482 0.465
2.225 0.827 9.863
5.000 2.482 9.218
7.250 0.827 6.346

=====

The energy of each structure relative to the most stable one, in meV per atom, is as follows: entry a 0; entry b 226.

=====

Entry a
ZrCu3N | the Alexandria database | PBE-GGA | relaxed; M_tot = 0.0 μB/f.u.
1.0
4.866 0.000 0.000
0.000 4.866 0.000
0.000 0.000 4.866
Zr Cu N
1 3 1
Cartesian
0.000 0.000 0.000
0.000 0.000 2.433
0.000 2.433 0.000
2.433 0.000 0.000
2.433 2.433 2.433

=====

Entry b
ZrCu3N | the Alexandria database | PBE-GGA | relaxed; M_tot = 0.0 μB/f.u.
1.0
4.054 0.000 0.000
0.000 4.054 0.000
0.000 0.000 4.054
Zr Cu N
1 3 1
Cartesian
0.000 0.000 0.000
0.000 2.027 2.027
2.027 0.000 2.027
2.027 2.027 0.000
2.027 2.027 2.027

=====

The energy of each structure relative to the most stable one, in meV per atom, is as follows: entry a 2117; entry b 0.

=====

Entry a
NaNd2Cu | the Alexandria database | PBE-GGA | relaxed; M_tot = 0.0 μB/f.u.
1.0
3.594 0.000 0.000
-1.797 3.113 0.000
0.000 0.000 34.121
Na Nd Cu
3 6 3
Cartesian
0.000 0.000 0.000
0.000 2.075 22.747
1.797 1.038 11.374
0.000 0.000 3.610
0.000 0.000 30.511
0.000 2.075 19.137
0.000 2.075 26.357
1.797 1.038 7.764
1.797 1.038 14.984
0.000 0.000 17.060
0.000 2.075 5.687
1.797 1.038 28.434

=====

Entry b
NaNd2Cu | the Alexandria database | PBE-GGA | relaxed; M_tot = 0.3 μB/f.u.
1.0
3.544 0.000 0.000
0.000 3.544 0.000
0.000 0.000 9.504
Na Nd Cu
1 2 1
Cartesian
0.000 0.000 0.000
1.772 1.772 2.993
1.772 1.772 6.511
0.000 0.000 4.752

=====

The energy of each structure relative to the most stable one, in meV per atom, is as follows: entry a 134; entry b 0.

=====

Entry a
NaCu2Ni2 | the Alexandria database | PBE-GGA | relaxed; M_tot = 0.0 μB/f.u.
1.0
7.334 0.000 0.000
0.000 7.334 0.000
0.000 0.000 2.505
Na Cu Ni
2 4 4
Cartesian
0.000 0.000 0.000
3.667 3.667 0.000
0.967 2.701 0.000
2.701 6.368 0.000
4.634 0.967 0.000
6.368 4.634 0.000
1.179 4.846 1.253
2.488 1.179 1.253
4.846 6.155 1.253
6.155 2.488 1.253

=====

Entry b
NaCu2Ni2 | the Alexandria database | PBE-GGA | relaxed; M_tot = 0.3 μB/f.u.
1.0
7.350 0.000 0.000
0.000 7.350 0.000
0.000 0.000 2.488
Na Cu Ni
2 4 4
Cartesian
0.000 0.000 0.000
3.675 3.675 0.000
1.287 2.389 1.244
2.389 6.064 1.244
4.962 1.287 1.244
6.064 4.962 1.244
0.868 4.543 0.000
2.808 0.868 0.000
4.543 6.483 0.000
6.483 2.808 0.000

=====

Entry c
NaCu2Ni2 | the Alexandria database | PBE-GGA | relaxed; M_tot = 0.0 μB/f.u.
1.0
3.623 0.000 0.000
0.000 3.623 0.000
0.000 0.000 11.261
Na Cu Ni
2 4 4
Cartesian
0.000 0.000 0.000
1.812 1.812 5.630
0.000 0.000 4.410
0.000 0.000 6.851
1.812 1.812 1.220
1.812 1.812 10.040
0.000 1.812 2.815
0.000 1.812 8.446
1.812 0.000 2.815
1.812 0.000 8.446

=====

The energy of each structure relative to the most stable one, in meV per atom, is as follows: entry a 34; entry b 0; entry c 203.

=====

Entry a
NaCu3Ni | the Alexandria database | PBE-GGA | relaxed; M_tot = 0.0 μB/f.u.
1.0
4.496 0.000 0.000
0.000 4.496 0.000
0.000 0.000 4.496
Na Cu Ni
1 3 1
Cartesian
0.000 0.000 0.000
0.000 2.248 2.248
2.248 0.000 2.248
2.248 2.248 0.000
2.248 2.248 2.248

=====

Entry b
NaCu3Ni | the Alexandria database | PBE-GGA | relaxed; M_tot = 0.0 μB/f.u.
1.0
4.393 0.000 0.000
0.000 4.393 0.000
0.000 0.000 4.393
Na Cu Ni
1 3 1
Cartesian
0.000 0.000 0.000
0.000 0.000 2.196
0.000 2.196 0.000
2.196 0.000 0.000
2.196 2.196 2.196

=====

The energy of each structure relative to the most stable one, in meV per atom, is as follows: entry a 0; entry b 901.

=====

Entry a
NaCu3O | the Alexandria database | PBE-GGA | relaxed; M_tot = 0.0 μB/f.u.
1.0
4.507 0.000 0.000
0.000 4.507 0.000
0.000 0.000 4.507
Na Cu O
1 3 1
Cartesian
0.000 0.000 0.000
0.000 0.000 2.254
0.000 2.254 0.000
2.254 0.000 0.000
2.254 2.254 2.254

=====

Entry b
NaCu3O | the Alexandria database | PBE-GGA | relaxed; M_tot = 0.0 μB/f.u.
1.0
4.145 0.000 0.000
0.000 4.145 0.000
0.000 0.000 4.145
Na Cu O
1 3 1
Cartesian
0.000 0.000 0.000
0.000 2.072 2.072
2.072 0.000 2.072
2.072 2.072 0.000
2.072 2.072 2.072

=====

The energy of each structure relative to the most stable one, in meV per atom, is as follows: entry a 1546; entry b 0.

=====

Entry a
NaCu3O4 | the Alexandria database | PBE-GGA | relaxed; M_tot = 0.0 μB/f.u.
1.0
3.603 0.000 0.000
-0.132 5.434 0.000
-0.474 -2.576 5.307
Na Cu O
1 3 4
Cartesian
0.000 0.000 0.000
1.334 2.780 2.756
1.735 2.717 0.000
1.662 0.078 2.550
1.268 1.486 1.366
1.353 4.063 1.359
1.643 -1.205 3.947
1.729 1.372 3.941

=====

Entry b
NaCu3O4 | the Alexandria database | PBE-GGA | relaxed; M_tot = 0.2 μB/f.u.
1.0
6.061 0.000 0.000
0.000 6.061 0.000
0.000 0.000 8.838
Na Cu O
4 12 16
Cartesian
0.000 1.547 0.000
0.000 4.515 4.419
1.547 0.000 6.628
4.515 0.000 2.209
0.000 1.514 4.419
0.000 4.547 0.000
1.489 3.031 2.209
1.514 0.000 2.209
1.563 3.031 6.628
3.031 1.489 4.419
3.031 1.563 0.000
3.031 4.499 4.419
3.031 4.572 0.000
4.499 3.031 2.209
4.547 0.000 6.628
4.572 3.031 6.628
0.136 1.639 2.414
0.136 4.422 2.004
1.639 0.136 4.214
1.639 5.925 0.205
1.648 2.849 4.722
1.648 3.212 8.535
2.849 1.648 1.906
2.849 4.413 2.512
3.212 1.648 6.931
3.212 4.413 6.325
4.413 2.849 4.116
4.413 3.212 0.303
4.422 0.136 4.624
4.422 5.925 8.632
5.925 1.639 6.423
5.925 4.422 6.833

=====

Entry c
NaCu3O4 | the Alexandria database | PBE-GGA | relaxed; M_tot = 0.0 μB/f.u.
1.0
5.477 0.000 0.000
0.000 5.477 0.000
0.000 0.000 5.477
Na Cu O
2 6 8
Cartesian
0.000 0.000 0.000
2.739 2.739 2.739
0.000 1.369 2.739
0.000 4.108 2.739
1.369 2.739 0.000
2.739 0.000 1.369
2.739 0.000 4.108
4.108 2.739 0.000
1.369 1.369 1.369
1.369 1.369 4.108
1.369 4.108 1.369
1.369 4.108 4.108
4.108 1.369 1.369
4.108 1.369 4.108
4.108 4.108 1.369
4.108 4.108 4.108

=====

The energy of each structure relative to the most stable one, in meV per atom, is as follows: entry a 20; entry b 61; entry c 0.

=====

Entry a
Na5Cu3P4O16 | the Alexandria database | PBE-GGA | relaxed; M_tot = 1.9 μB/f.u.
1.0
5.108 0.000 0.000
2.370 8.275 0.000
0.118 4.362 8.194
Na Cu P O
5 3 4 16
Cartesian
0.000 0.000 0.000
2.622 4.981 2.065
2.630 5.662 5.228
4.966 6.975 2.966
4.973 7.656 6.129
2.612 9.717 6.494
2.613 2.181 4.097
4.984 2.920 1.700
2.330 8.653 3.559
2.302 6.842 8.005
5.294 5.795 0.189
5.266 3.984 4.635
1.767 5.817 0.025
2.513 9.326 2.182
2.619 7.152 3.429
1.621 3.834 4.084
2.579 7.812 6.762
3.317 9.339 4.611
2.805 2.925 1.125
2.780 5.502 7.455
4.815 7.135 0.739
4.790 9.711 7.069
4.279 3.298 3.584
5.016 4.825 1.432
5.975 8.803 4.110
4.976 5.485 4.765
5.082 3.311 6.012
5.829 6.819 8.169

=====

Entry b
Na5Cu3P4O16 | the Alexandria database | PBE-GGA | relaxed; M_tot = 0.9 μB/f.u.
1.0
5.322 0.000 0.000
-2.164 8.556 0.000
-1.059 -2.294 8.587
Na Cu P O
5 3 4 16
Cartesian
0.000 0.000 0.000
-1.466 4.007 6.368
-1.104 5.352 2.770
3.203 0.911 5.817
3.566 2.256 2.219
-1.880 6.928 5.567
1.050 3.131 4.294
3.979 -0.665 3.021
0.600 3.566 0.140
1.152 0.280 3.024
0.948 5.983 5.563
1.499 2.696 8.447
-1.076 2.659 4.453
-0.014 0.723 2.108
-0.750 0.154 7.771
-0.299 3.808 1.308
-1.497 7.474 3.655
-0.091 2.705 7.948
-0.314 6.204 6.442
1.452 1.278 4.175
0.648 4.985 4.413
2.413 0.058 2.146
2.190 3.558 0.639
3.596 -1.211 4.933
2.398 2.455 7.279
2.850 6.108 0.816
2.114 5.540 6.479
3.175 3.604 4.134

=====

The energy of each structure relative to the most stable one, in meV per atom, is as follows: entry a 0; entry b 108.